(1)
VASP calculation (GGA-PBE) on crystalline ZnInGaPd at its relaxed geometry.

Results
* DFT total energy: -3.274 eV per atom
* SG: No. 25

Geometry as POSCAR:
```
ZnInGaPd
1.0
3.4378 0.0000 0.0000
0.0000 3.4570 0.0000
0.0000 0.0000 5.9153
Zn In Ga Pd
1 1 1 1
direct
0.0000 0.0000 0.0000
0.5000 0.5000 0.7258
0.5000 0.5000 0.2376
0.0000 0.0000 0.4502
```

=====

(2)
VASP calculation (GGA-PBE) on crystalline ZnInGaPd at its relaxed geometry.

Results
* DFT total energy: -3.270 eV per atom
* SG: No. 1

Geometry as POSCAR:
```
ZnInGaPd
1.0
3.6027 0.0000 0.0000
-1.7733 4.0100 0.0000
-0.1119 -0.0627 5.4588
Zn In Ga Pd
1 1 1 1
direct
0.0000 0.0000 0.0000
0.3032 0.6007 0.2974
0.5948 0.1953 0.6263
0.2960 0.5953 0.7973
```

=====

(3)
VASP calculation (GGA-PBE) on crystalline ZrInGaPd at its relaxed geometry.

Results
* DFT total energy: -5.285 eV per atom
* SG: No. 216

Geometry as POSCAR:
```
ZrInGaPd
1.0
0.0000 3.3552 3.3552
3.3552 0.0000 3.3552
3.3552 3.3552 0.0000
Zr In Ga Pd
1 1 1 1
direct
0.0000 0.0000 0.0000
0.5000 0.5000 0.5000
0.2500 0.2500 0.2500
0.7500 0.7500 0.7500
```

=====

(4)
VASP calculation (GGA-PBE) on crystalline Pm2InGa at its relaxed geometry.

Results
* DFT total energy: -4.345 eV per atom
* SG: No. 123

Geometry as POSCAR:
```
Pm2InGa
1.0
3.7316 0.0000 0.0000
0.0000 3.7316 0.0000
0.0000 0.0000 7.6496
Pm In Ga
2 1 1
direct
0.0000 0.0000 0.2362
0.0000 0.0000 0.7638
0.5000 0.5000 0.5000
0.5000 0.5000 0.0000
```

=====

(5)
VASP calculation (GGA-PBE) on crystalline PmInGa3 at its relaxed geometry.

Results
* DFT total energy: -3.722 eV per atom
* SG: No. 63

Geometry as POSCAR:
```
PmInGa3
1.0
2.1718 -11.8238 0.0000
2.1718 11.8238 0.0000
0.0000 0.0000 4.3105
Pm In Ga
2 2 6
direct
0.0784 0.9216 0.7500
0.9216 0.0784 0.2500
0.2007 0.7993 0.2500
0.7993 0.2007 0.7500
0.3141 0.6859 0.2500
0.3736 0.6264 0.7500
0.4762 0.5238 0.7500
0.5238 0.4762 0.2500
0.6264 0.3736 0.2500
0.6859 0.3141 0.7500
```

=====

(6)
VASP calculation (GGA-PBE) on crystalline Pm2In2Ga at its relaxed geometry.

Results
* DFT total energy: -4.111 eV per atom
* SG: No. 12

Geometry as POSCAR:
```
Pm2In2Ga
1.0
5.7751 -2.2759 0.0000
5.7751 2.2759 0.0000
-4.8395 0.0000 10.1636
Pm In Ga
4 4 2
direct
0.0097 0.0097 0.1757
0.1828 0.1828 0.6124
0.8172 0.8172 0.3876
0.9903 0.9903 0.8243
0.3423 0.3423 0.9436
0.4583 0.4583 0.6080
0.5417 0.5417 0.3920
0.6577 0.6577 0.0564
0.2982 0.2982 0.1808
0.7018 0.7018 0.8192
```

=====

(7)
VASP calculation (GGA-PBE) on crystalline Pm3In3Ga2 at its relaxed geometry.

Results
* DFT total energy: -4.092 eV per atom
* SG: No. 63

Geometry as POSCAR:
```
Pm3In3Ga2
1.0
2.2418 -5.7692 0.0000
2.2418 5.7692 0.0000
0.0000 0.0000 15.9511
Pm In Ga
6 6 4
direct
0.0615 0.9385 0.6112
0.0615 0.9385 0.8888
0.3423 0.6577 0.7500
0.6577 0.3423 0.2500
0.9385 0.0615 0.1112
0.9385 0.0615 0.3888
0.3634 0.6366 0.5359
0.3634 0.6366 0.9641
0.3846 0.6154 0.2500
0.6154 0.3846 0.7500
0.6366 0.3634 0.0359
0.6366 0.3634 0.4641
0.2242 0.7758 0.1180
0.2242 0.7758 0.3820
0.7758 0.2242 0.6180
0.7758 0.2242 0.8820
```

=====

(8)
VASP calculation (GGA-PBE) on crystalline Pm2In3Ga at its relaxed geometry.

Results
* DFT total energy: -3.931 eV per atom
* SG: No. 69

Geometry as POSCAR:
```
Pm2In3Ga
1.0
0.0000 4.8409 8.4061
3.7611 0.0000 8.4061
3.7611 4.8409 0.0000
Pm In Ga
4 6 2
direct
0.2500 0.2500 0.2500
0.2505 0.7495 0.7495
0.7495 0.2505 0.2505
0.7500 0.7500 0.7500
0.1703 0.1703 0.8297
0.1702 0.6590 0.3410
0.3410 0.8298 0.1702
0.6590 0.1702 0.8298
0.8298 0.3410 0.6590
0.8297 0.8297 0.1703
0.3331 0.3331 0.6669
0.6669 0.6669 0.3331
```